Below is a geometry-optimized Ba4Te2SeCl structure, with properties calculated at the PBE level.

Total moment, μB per cell: 0.000
ρ, kg/m3: 4802
ΔE_f (raw), eV per atom: -1.863
Uncorrected energy, eV/atom: -4.28

a b c (Å): 8.3092 4.8471 8.3738
angles (deg): 90.00 109.57 90.00
With the nearest neighbours (Å) after each atom.
Fractional coordinates of all 8 atoms:
1 Ba 0.2385 0.0000 0.2407  2 Se 3.34, 1 Cl 3.39, 3 Te 3.42-3.49
2 Ba 0.2433 0.5000 0.7543  1 Se 3.33, 2 Cl 3.41, 3 Te 3.42-3.48
3 Ba 0.7567 0.5000 0.2457  1 Se 3.33, 2 Cl 3.41, 3 Te 3.42-3.48
4 Ba 0.7615 0.0000 0.7593  2 Se 3.34, 1 Cl 3.39, 3 Te 3.42-3.49
5 Te 0.5000 0.0000 0.0000  6 Ba 3.42
6 Te 0.5000 0.5000 0.5000  6 Ba 3.48-3.49
7 Se 0.0000 0.5000 0.0000  6 Ba 3.33-3.34
8 Cl 0.0000 0.0000 0.5000  6 Ba 3.39-3.41